Here is a relaxed structure of NdTlGa2 from Alexandria via LeMat-Bulk. Energies are from GGA-PBE.

a b c (Å): 3.408 3.408 11.122
angles (deg): 81.19 81.19 60.00
Atoms (fractional coordinates):
Tl1 0.000 0.000 0.000
Nd1 0.500 0.500 0.500
Ga1 0.592 0.592 0.224
Ga2 0.408 0.408 0.776

Calculated values
Relative energy among the computed polymorphs: 593 meV/atom
DFT total energy: -12.4 eV for the cell shown
Formation energy from the elements: 0.187 eV/atom

***

Here is a relaxed structure of YPW2 from Alexandria via LeMat-Bulk. Energies are from GGA-PBE.

a b c (Å): 4.498 4.498 5.859
angles (deg): 76.61 76.61 43.63
Atoms (fractional coordinates):
Y1 0.516 0.516 0.476
P1 0.257 0.257 0.169
W1 0.993 0.993 0.007
W2 0.734 0.734 0.847

Calculated values
DFT total energy: -37.5 eV for the cell shown
Formation energy from the elements: 0.061 eV/atom

***

Here is a relaxed structure of CsBi2Pb2 from Alexandria via LeMat-Bulk. Energies are from GGA-PBE.

a b c (Å): 5.545 5.545 7.855
angles (deg): 69.33 69.33 90.00
Atoms (fractional coordinates):
Pb1 0.373 0.373 0.254
Pb2 0.627 0.627 0.746
Cs1 0.000 0.000 0.000
Bi1 0.750 0.250 0.500
Bi2 0.250 0.750 0.500

Calculated values
Relative energy among the computed polymorphs: 41 meV/atom
DFT total energy: -16.8 eV for the cell shown
Formation energy from the elements: -0.161 eV/atom

***

Here is a relaxed structure of KLa2Cd from Alexandria via LeMat-Bulk. Energies are from GGA-PBE.

a b c (Å): 4.012 4.010 10.452
angles (deg): 90.00 90.00 90.00
Each line ends with the local moment (μB).
Atoms (fractional coordinates):
Cd1 0.500 0.500 0.250  0.00
K1 0.500 0.500 0.750  0.01
La1 0.000 0.000 0.084  0.17
La2 0.000 0.000 0.416  0.17

Calculated values
DFT total energy: -11.7 eV for the cell shown
Formation energy from the elements: 0.046 eV/atom

***

Here is a relaxed structure of Ho3HfTl4S8 from Alexandria via LeMat-Bulk. Energies are from GGA-PBE.

a b c (Å): 7.794 9.094 7.793
angles (deg): 115.32 120.00 90.00
Atoms (fractional coordinates):
Ho1 0.500 0.500 0.000
Ho2 0.500 0.500 0.500
Ho3 0.000 0.500 0.500
Hf1 0.000 0.500 0.000
Tl1 0.500 0.000 0.000
Tl2 0.500 0.000 0.500
Tl3 0.000 0.000 0.000
Tl4 0.000 0.000 0.500
S1 0.219 0.685 0.966
S2 0.219 0.685 0.438
S3 0.270 0.308 0.539
S4 0.747 0.685 0.966
S5 0.253 0.315 0.034
S6 0.730 0.692 0.461
S7 0.781 0.315 0.562
S8 0.781 0.315 0.034

Calculated values
DFT total energy: -88.2 eV for the cell shown

***

Here is a relaxed structure of RbNaCoCl6 from Alexandria via LeMat-Bulk. Energies are from GGA-PBE.

a b c (Å): 6.801 6.799 6.929
angles (deg): 90.03 89.96 59.87
Each line ends with the local moment (μB).
Atoms (fractional coordinates):
Rb1 0.000 0.000 0.000  0.00
Na1 0.666 0.666 0.500  0.00
Co1 0.333 0.333 0.500  0.87
Cl1 0.059 0.343 0.310  0.03
Cl2 0.343 0.059 0.690  0.03
Cl3 0.597 0.344 0.690  0.03
Cl4 0.058 0.599 0.689  0.03
Cl5 0.344 0.597 0.310  0.03
Cl6 0.599 0.058 0.311  0.03

Calculated values
DFT total energy: -29.8 eV for the cell shown

***

Here is a relaxed structure of Tc2PbAu from Alexandria via LeMat-Bulk. Energies are from GGA-PBE.

a b c (Å): 4.806 4.087 4.237
angles (deg): 94.23 90.00 90.00
Atoms (fractional coordinates):
Au1 0.500 0.250 0.250
Pb1 0.500 0.750 0.750
Tc1 0.000 0.938 0.080
Tc2 0.000 0.562 0.420

Calculated values
DFT total energy: -25.5 eV for the cell shown
Formation energy from the elements: 0.562 eV/atom

***

Here is a relaxed structure of Dy2Al3GePt4 from Alexandria via LeMat-Bulk. Energies are from GGA-PBE.

a b c (Å): 4.153 4.153 10.688
angles (deg): 90.00 90.00 90.00
Atoms (fractional coordinates):
Dy1 0.500 0.000 0.256
Dy2 0.000 0.500 0.744
Al1 0.000 0.000 0.500
Al2 0.500 0.000 0.867
Al3 0.000 0.500 0.133
Ge1 0.500 0.500 0.500
Pt1 0.500 0.500 0.000
Pt2 0.000 0.000 0.000
Pt3 0.500 0.000 0.638
Pt4 0.000 0.500 0.362

Calculated values
DFT total energy: -60.0 eV for the cell shown
Formation energy from the elements: -1.075 eV/atom

***

Here is a relaxed structure of ReAsAu2 from Alexandria via LeMat-Bulk. Energies are from GGA-PBE.

a b c (Å): 5.235 5.235 2.737
angles (deg): 90.00 90.00 114.26
Atoms (fractional coordinates):
Re1 0.500 0.000 0.500
As1 0.000 0.500 0.500
Au1 0.000 0.000 0.000
Au2 0.500 0.500 0.000

Calculated values
DFT total energy: -21.5 eV for the cell shown
Formation energy from the elements: 0.539 eV/atom

***

Here is a relaxed structure of TaPt3Rh from Alexandria via LeMat-Bulk. Energies are from GGA-PBE.

a b c (Å): 4.878 4.860 7.437
angles (deg): 96.58 109.15 69.57
Atoms (fractional coordinates):
Ta1 0.863 0.844 0.006
Ta2 0.163 0.345 0.609
Pt1 0.565 0.345 0.411
Pt2 0.760 0.344 0.802
Pt3 0.066 0.845 0.414
Pt4 0.960 0.344 0.201
Pt5 0.461 0.844 0.204
Pt6 0.265 0.844 0.812
Rh1 0.361 0.344 0.003
Rh2 0.665 0.845 0.612

Calculated values
Relative energy among the computed polymorphs: 0 meV/atom
DFT total energy: -80.2 eV for the cell shown
Formation energy from the elements: -0.557 eV/atom

***

Here is a relaxed structure of Sc2MoIr from Alexandria via LeMat-Bulk. Energies are from GGA-PBE.

a b c (Å): 4.596 4.596 4.596
angles (deg): 60.00 60.00 60.00
Atoms (fractional coordinates):
Ir1 0.500 0.500 0.500
Mo1 0.750 0.750 0.750
Sc1 0.000 0.000 0.000
Sc2 0.250 0.250 0.250

Calculated values
DFT total energy: -33.1 eV for the cell shown
Formation energy from the elements: -0.189 eV/atom

***

Here is a relaxed structure of Er2CoRe3 from Alexandria via LeMat-Bulk. Energies are from GGA-PBE.

a b c (Å): 5.243 5.243 5.411
angles (deg): 90.05 118.98 119.94
Each line ends with the local moment (μB).
Atoms (fractional coordinates):
Er1 0.749 0.375 0.124  -0.06
Er2 0.251 0.625 0.876  -0.06
Co1 0.000 0.000 0.000  1.02
Re1 0.500 0.500 0.500  0.13
Re2 0.000 0.000 0.500  0.13
Re3 0.500 0.000 0.500  0.13

Calculated values
DFT total energy: -54.9 eV for the cell shown
Formation energy from the elements: -0.215 eV/atom

***

Here is a relaxed structure of Li2ZnP from Alexandria via LeMat-Bulk. Energies are from GGA-PBE.

a b c (Å): 2.793 2.793 8.350
angles (deg): 90.00 90.00 99.05
Atoms (fractional coordinates):
Li1 0.000 0.000 0.973
Li2 0.500 0.500 0.288
P1 0.000 0.000 0.499
Zn1 0.500 0.500 0.740

Calculated values
Relative energy among the computed polymorphs: 321 meV/atom
DFT total energy: -10.8 eV for the cell shown
Formation energy from the elements: -0.071 eV/atom

***

Here is a relaxed structure of CrFe2Mo from Alexandria via LeMat-Bulk. Energies are from GGA-PBE.

a b c (Å): 4.056 4.056 3.038
angles (deg): 90.00 90.00 90.00
Each line ends with the local moment (μB).
Atoms (fractional coordinates):
Cr1 0.000 0.500 0.500  1.40
Fe1 0.000 0.000 0.000  1.39
Fe2 0.500 0.500 0.000  1.39
Mo1 0.500 0.000 0.500  -0.30

Calculated values
Relative energy among the computed polymorphs: 105 meV/atom
DFT total energy: -36.6 eV for the cell shown
Formation energy from the elements: 0.201 eV/atom

***

Here is a relaxed structure of NaLaTbTe3 from Alexandria via LeMat-Bulk. Energies are from GGA-PBE.

a b c (Å): 4.451 8.937 9.955
angles (deg): 105.72 90.00 90.00
Atoms (fractional coordinates):
Na1 0.250 0.095 0.586
Na2 0.750 0.905 0.414
La1 0.250 0.203 0.233
La2 0.750 0.797 0.767
Tb1 0.250 0.671 0.155
Tb2 0.750 0.329 0.845
Te1 0.750 0.909 0.120
Te2 0.250 0.091 0.880
Te3 0.250 0.732 0.501
Te4 0.750 0.268 0.499
Te5 0.750 0.438 0.168
Te6 0.250 0.562 0.832

Calculated values
DFT total energy: -55.6 eV for the cell shown

***

Here is a relaxed structure of PrNd4Sm2Mg from Alexandria via LeMat-Bulk. Energies are from GGA-PBE.

a b c (Å): 5.817 5.812 9.853
angles (deg): 53.81 90.00 90.00
Atoms (fractional coordinates):
Pr1 0.000 0.500 0.500
Nd1 0.000 0.729 0.771
Nd2 0.000 0.271 0.229
Nd3 0.500 0.771 0.229
Nd4 0.500 0.229 0.771
Sm1 0.000 0.000 0.000
Sm2 0.500 0.000 0.500
Mg1 0.500 0.500 0.000

Calculated values
DFT total energy: -34.3 eV for the cell shown
Formation energy from the elements: 0.072 eV/atom

***

Here is a relaxed structure of Nd7Sm4Hg from Alexandria via LeMat-Bulk. Energies are from GGA-PBE.

a b c (Å): 3.679 3.679 34.802
angles (deg): 90.00 90.00 120.00
Atoms (fractional coordinates):
Nd1 0.000 0.000 0.000
Nd2 0.667 0.333 0.572
Nd3 0.333 0.667 0.428
Nd4 0.667 0.333 0.829
Nd5 0.333 0.667 0.171
Nd6 0.000 0.000 0.257
Nd7 0.000 0.000 0.743
Sm1 0.667 0.333 0.086
Sm2 0.333 0.667 0.914
Sm3 0.667 0.333 0.343
Sm4 0.333 0.667 0.657
Hg1 0.000 0.000 0.500

Calculated values
DFT total energy: -53.1 eV for the cell shown
Formation energy from the elements: -0.042 eV/atom

***

Here is a relaxed structure of TaCrCu2 from Alexandria via LeMat-Bulk. Energies are from GGA-PBE.

a b c (Å): 4.714 4.714 4.714
angles (deg): 132.76 132.76 69.03
Each line ends with the local moment (μB).
Atoms (fractional coordinates):
Cr1 0.750 0.250 0.500  2.23
Cu1 0.000 0.000 0.000  0.01
Cu2 0.250 0.750 0.500  0.01
Ta1 0.500 0.500 0.000  -0.22

Calculated values
Relative energy among the computed polymorphs: 66 meV/atom
DFT total energy: -28.7 eV for the cell shown
Formation energy from the elements: 0.253 eV/atom

***

Here is a relaxed structure of RbNpVS4 from Alexandria via LeMat-Bulk. Energies are from GGA-PBE.

a b c (Å): 6.496 6.542 9.158
angles (deg): 90.00 108.27 90.00
Each line ends with the local moment (μB).
Atoms (fractional coordinates):
Rb1 0.729 0.750 0.938  0.00
Rb2 0.271 0.250 0.062  0.00
Np1 0.774 0.750 0.450  3.81
Np2 0.226 0.250 0.550  3.81
V1 0.222 0.750 0.334  1.12
V2 0.778 0.250 0.666  1.12
S1 0.011 0.509 0.700  -0.07
S2 0.989 0.009 0.300  -0.07
S3 0.989 0.491 0.300  -0.07
S4 0.011 0.991 0.700  -0.07
S5 0.429 0.750 0.183  -0.07
S6 0.571 0.250 0.817  -0.07
S7 0.434 0.750 0.573  -0.07
S8 0.566 0.250 0.427  -0.07

Calculated values
DFT total energy: -95.5 eV for the cell shown

***

Here is a relaxed structure of PrYS from Alexandria via LeMat-Bulk. Energies are from GGA-PBE.

a b c (Å): 6.523 3.883 3.883
angles (deg): 120.00 90.00 90.00
Each line ends with the local moment (μB).
Atoms (fractional coordinates):
Pr1 0.598 0.667 0.333  0.14
Y1 0.080 0.000 0.000  -0.14
S1 0.322 0.333 0.667  0.00

Calculated values
DFT total energy: -19.2 eV for the cell shown

***

Here is a relaxed structure of La2AlGe3 from Alexandria via LeMat-Bulk. Energies are from GGA-PBE.

a b c (Å): 4.310 4.338 7.708
angles (deg): 90.00 90.00 90.00
Atoms (fractional coordinates):
La1 0.000 0.500 0.995
La2 0.000 0.000 0.507
Al1 0.500 0.500 0.332
Ge1 0.500 0.000 0.834
Ge2 0.500 0.000 0.174
Ge3 0.500 0.500 0.658

Calculated values
Relative energy among the computed polymorphs: 20 meV/atom
DFT total energy: -31.5 eV for the cell shown
Formation energy from the elements: -0.673 eV/atom

***

Here is a relaxed structure of Ba2Ag2Pd15 from Alexandria via LeMat-Bulk. Energies are from GGA-PBE.

a b c (Å): 7.106 7.106 7.106
angles (deg): 83.15 83.15 83.15
Atoms (fractional coordinates):
Ba1 0.343 0.343 0.343
Ba2 0.657 0.657 0.657
Ag1 0.099 0.099 0.099
Ag2 0.901 0.901 0.901
Pd1 0.500 0.000 0.000
Pd2 0.000 0.000 0.500
Pd3 0.000 0.500 0.000
Pd4 0.000 0.704 0.296
Pd5 0.704 0.296 0.000
Pd6 0.296 0.000 0.704
Pd7 0.296 0.704 0.000
Pd8 0.704 0.000 0.296
Pd9 0.000 0.296 0.704
Pd10 0.155 0.656 0.656
Pd11 0.656 0.656 0.155
Pd12 0.656 0.155 0.656
Pd13 0.845 0.344 0.344
Pd14 0.344 0.344 0.845
Pd15 0.344 0.845 0.344

Calculated values
DFT total energy: -91.3 eV for the cell shown
Formation energy from the elements: -0.206 eV/atom

***

Here is a relaxed structure of BiAsRh2 from Alexandria via LeMat-Bulk. Energies are from GGA-PBE.

a b c (Å): 5.906 6.625 7.776
angles (deg): 90.00 83.23 90.00
Atoms (fractional coordinates):
Bi1 0.251 0.416 0.122
Bi2 0.249 0.916 0.878
Bi3 0.751 0.084 0.122
Bi4 0.749 0.584 0.878
As1 0.684 0.057 0.608
As2 0.184 0.443 0.608
As3 0.316 0.943 0.392
As4 0.816 0.557 0.392
Rh1 0.557 0.708 0.209
Rh2 0.057 0.792 0.209
Rh3 0.003 0.200 0.404
Rh4 0.943 0.208 0.791
Rh5 0.997 0.800 0.596
Rh6 0.497 0.700 0.596
Rh7 0.443 0.292 0.791
Rh8 0.503 0.300 0.404

Calculated values
DFT total energy: -98.6 eV for the cell shown
Formation energy from the elements: -0.354 eV/atom

***

Here is a relaxed structure of Li2DyAu3 from Alexandria via LeMat-Bulk. Energies are from GGA-PBE.

a b c (Å): 4.548 4.548 12.563
angles (deg): 90.00 90.00 120.00
Atoms (fractional coordinates):
Li1 0.000 0.000 0.500
Li2 0.333 0.667 0.142
Li3 0.667 0.333 0.858
Li4 0.000 0.000 0.000
Dy1 0.333 0.667 0.681
Dy2 0.667 0.333 0.319
Au1 0.333 0.667 0.440
Au2 0.667 0.333 0.077
Au3 0.000 0.000 0.793
Au4 0.000 0.000 0.207
Au5 0.333 0.667 0.923
Au6 0.667 0.333 0.560

Calculated values
Relative energy among the computed polymorphs: 0 meV/atom
DFT total energy: -44.5 eV for the cell shown
Formation energy from the elements: -0.665 eV/atom

***

Here is a relaxed structure of Cu2ReSe from Alexandria via LeMat-Bulk. Energies are from GGA-PBE.

a b c (Å): 5.170 5.170 5.170
angles (deg): 146.86 130.89 60.53
Atoms (fractional coordinates):
Cu1 0.010 0.010 0.000
Cu2 0.490 0.490 0.000
Re1 0.750 0.250 0.500
Se1 0.250 0.750 0.500

Calculated values
DFT total energy: -21.9 eV for the cell shown